Record 1
## AlZnAs2 (PBE-GGA)

Data for a relaxed AlZnAs2 crystal.

Results
Calculated density (g cm⁻³): 5.61
E (eV for the cell shown): -13.6
Symmetry: P4/mmm
Magnetization (μB/f.u.): 0.0
Crystal system: tetragonal

a b c (Å): 3.1539 3.1539 7.2050
angles (deg): 90.00 90.00 90.00
Closest atoms and distances in Å follow each position.
Positions (direct):
As: 0.0000 0.0000 0.9928  4 Al 2.83, 4 Zn 2.90, 4 As 3.15
Al: 0.5000 0.5000 0.7500  8 As 2.83, 4 Al 3.15
Zn: 0.5000 0.5000 0.2500  8 As 2.90, 4 Zn 3.15
As: 0.0000 0.0000 0.5072  4 Al 2.83, 4 Zn 2.90, 4 As 3.15

---

Record 2
## Al2ZnAs (PBE-GGA)

Data for a relaxed Al2ZnAs crystal.

Results
Calculated density (g cm⁻³): 4.67
E (eV for the cell shown): -12.9
Symmetry: I4/mmm
Magnetization (μB/f.u.): 0.0
Crystal system: tetragonal

a b c (Å): 4.8949 4.8949 4.8949
angles (deg): 128.96 128.96 75.08
Closest atoms and distances in Å follow each position.
Positions (direct):
Zn: 0.7500 0.2500 0.5000  8 Al 2.87, 4 As 2.98
As: 0.2500 0.7500 0.5000  8 Al 2.87, 4 Zn 2.98
Al: 0.0000 0.0000 0.0000  4 As 2.87, 4 Zn 2.87, 4 Al 2.98
Al: 0.5000 0.5000 0.0000  4 As 2.87, 4 Zn 2.87, 4 Al 2.98

---

Record 3
## AlZn4As (PBE-GGA)

Data for a relaxed AlZn4As crystal.

Results
Calculated density (g cm⁻³): 6.00
E (eV for the cell shown): -12.4
Symmetry: F-43m
Magnetization (μB/f.u.): 0.0
Crystal system: cubic

a b c (Å): 5.2202 5.2202 5.2202
angles (deg): 60.00 60.00 60.00
Closest atoms and distances in Å follow each position.
Positions (direct):
Al: 0.7500 0.7500 0.7500  12 Zn 3.06, 4 As 3.20
Zn: 0.8754 0.3749 0.3749  6 Zn 2.61
As: 0.0000 0.0000 0.0000  12 Zn 3.06, 4 Al 3.20
Zn: 0.3749 0.3749 0.8754  6 Zn 2.61
Zn: 0.3749 0.3749 0.3749  6 Zn 2.61
Zn: 0.3749 0.8754 0.3749  6 Zn 2.61

---

Record 4
## AlZnAs2 (PBE-GGA)

Data for a relaxed AlZnAs2 crystal.

Results
Calculated density (g cm⁻³): 5.64
E (eV for the cell shown): -13.5
Symmetry: Fm-3m
Magnetization (μB/f.u.): 0.0
Crystal system: cubic

a b c (Å): 4.6539 4.6539 4.6539
angles (deg): 60.00 60.00 60.00
Closest atoms and distances in Å follow each position.
Positions (direct):
Zn: 0.5000 0.5000 0.5000  8 As 2.85
Al: 0.0000 0.0000 0.0000  8 As 2.85
As: 0.7500 0.7500 0.7500  4 Al 2.85, 4 Zn 2.85
As: 0.2500 0.2500 0.2500  4 Al 2.85, 4 Zn 2.85

---

Record 5
## AlZnAs2 (PBE-GGA)

Data for a relaxed AlZnAs2 crystal.

Results
Calculated density (g cm⁻³): 5.43
E (eV for the cell shown): -13.6
Symmetry: Cmm2
Magnetization (μB/f.u.): 0.0
Crystal system: orthorhombic

a b c (Å): 2.8582 2.8582 9.2155
angles (deg): 90.00 90.00 100.38
Closest atoms and distances in Å follow each position.
Positions (direct):
As: 0.5000 0.5000 0.2959  4 Zn 2.72-2.98, 4 As 2.86
Zn: 0.0000 0.0000 0.5143  4 As 2.72-2.98, 4 Al 2.74-2.99, 4 Zn 2.86
As: 0.0000 0.0000 0.9549  4 Al 2.73-2.99, 4 As 2.86
Al: 0.5000 0.5000 0.7349  4 As 2.73-2.99, 4 Zn 2.74-2.99, 4 Al 2.86

---

Record 6
## AlZnAs2 (PBE-GGA)

Data for a relaxed AlZnAs2 crystal.

Results
Calculated density (g cm⁻³): 5.48
E (eV for the cell shown): -13.2
Symmetry: F-43m
Magnetization (μB/f.u.): 0.0
Crystal system: cubic

a b c (Å): 4.6998 4.6998 4.6998
angles (deg): 60.00 60.00 60.00
Closest atoms and distances in Å follow each position.
Positions (direct):
As: 0.0000 0.0000 0.0000  4 As 2.88, 4 Zn 2.88
Al: 0.5000 0.5000 0.5000  4 As 2.88, 4 Zn 2.88
As: 0.2500 0.2500 0.2500  4 As 2.88, 4 Al 2.88
Zn: 0.7500 0.7500 0.7500  4 As 2.88, 4 Al 2.88

---

Record 7
## AlZn3As (PBE-GGA)

Data for a relaxed AlZn3As crystal.

Results
Calculated density (g cm⁻³): 4.23
E (eV for the cell shown): -9.6
Symmetry: Pm-3m
Magnetization (μB/f.u.): 0.0
Crystal system: cubic

a b c (Å): 4.8911 4.8911 4.8911
angles (deg): 90.00 90.00 90.00
Closest atoms and distances in Å follow each position.
Positions (direct):
Zn: 0.0000 0.5000 0.0000  2 As 2.45
Zn: 0.5000 0.0000 0.0000  2 As 2.45
Al: 0.5000 0.5000 0.5000  12 Zn 3.46
Zn: 0.0000 0.0000 0.5000  2 As 2.45
As: 0.0000 0.0000 0.0000  6 Zn 2.45

---

Record 8
## AlZnAs (PBE-GGA)

Data for a relaxed AlZnAs crystal.

Results
Calculated density (g cm⁻³): 5.04
E (eV for the cell shown): -9.2
Symmetry: P3m1
Magnetization (μB/f.u.): 0.0
Crystal system: trigonal

a b c (Å): 4.8827 4.8827 2.6681
angles (deg): 90.00 90.00 120.00
Closest atoms and distances in Å follow each position.
Positions (direct):
Al: 0.0000 0.0000 0.3312  2 Al 2.67, 3 As 2.82, 3 Zn 2.82
As: 0.6667 0.3333 0.3324  2 As 2.67, 3 Al 2.82, 3 Zn 2.82
Zn: 0.3333 0.6667 0.3365  2 Zn 2.67, 3 As 2.82, 3 Al 2.82

---

Record 9
## AlZn2As (PBE-GGA)

Data for a relaxed AlZn2As crystal.

Results
Calculated density (g cm⁻³): 5.71
E (eV for the cell shown): -10.6
Symmetry: Cm
Magnetization (μB/f.u.): 0.0
Crystal system: monoclinic

a b c (Å): 4.8831 4.8831 5.1479
angles (deg): 79.41 79.41 34.21
Closest atoms and distances in Å follow each position.
Positions (direct):
Zn: 0.9912 0.9912 0.0397  5 Zn 2.69-2.87, 2 Al 2.82, 3 As 2.98-3.01
As: 0.7524 0.7524 0.7288  3 Al 2.75-2.83, 2 As 2.87, 7 Zn 2.93-3.01
Zn: 0.2490 0.2490 0.2259  5 Zn 2.69-2.87, 2 Al 2.82, 4 As 2.93-2.97
Al: 0.5074 0.5074 0.5056  3 As 2.75-2.83, 7 Zn 2.82-3.08, 2 Al 2.87

---

Record 10
## Al2ZnAs (PBE-GGA)

Data for a relaxed Al2ZnAs crystal.

Results
Calculated density (g cm⁻³): 3.36
E (eV for the cell shown): -25.6
Symmetry: I-42d
Magnetization (μB/f.u.): 0.0
Crystal system: tetragonal

a b c (Å): 6.2291 6.2291 6.6303
angles (deg): 61.98 61.98 90.00
Closest atoms and distances in Å follow each position.
Positions (direct):
As: 0.0000 0.0000 0.0000  4 Al 2.49
Zn: 0.2500 0.7500 0.5000  4 Al 2.57
Al: 0.8750 0.8860 0.7500  2 As 2.49, 2 Zn 2.57
Zn: 0.5000 0.5000 0.0000  4 Al 2.57
As: 0.7500 0.2500 0.5000  4 Al 2.49
Al: 0.6360 0.1250 0.2500  2 As 2.49, 2 Zn 2.57
Al: 0.3750 0.3640 0.7500  2 As 2.49, 2 Zn 2.57
Al: 0.1140 0.6250 0.2500  2 As 2.49, 2 Zn 2.57

---

Record 11
## AlZn2As (PBE-GGA)

Data for a relaxed AlZn2As crystal.

Results
Calculated density (g cm⁻³): 5.72
E (eV for the cell shown): -10.5
Symmetry: Cmmm
Magnetization (μB/f.u.): 0.0
Crystal system: orthorhombic

a b c (Å): 2.8797 2.8797 8.1577
angles (deg): 90.00 90.00 92.13
Closest atoms and distances in Å follow each position.
Positions (direct):
Zn: 0.0000 0.0000 0.0161  4 Al 2.76-2.82, 4 Zn 2.88, 4 As 2.95-3.00
As: 0.5000 0.5000 0.7500  4 As 2.88, 8 Zn 2.95-3.00
Al: 0.5000 0.5000 0.2500  8 Zn 2.76-2.82, 4 Al 2.88
Zn: 0.0000 0.0000 0.4839  4 Al 2.76-2.82, 4 Zn 2.88, 4 As 2.95-3.00

---

Record 12
## AlZnAs2 (PBE-GGA)

Data for a relaxed AlZnAs2 crystal.

Results
Calculated density (g cm⁻³): 5.52
E (eV for the cell shown): -13.6
Symmetry: Pmmm
Magnetization (μB/f.u.): 0.0
Crystal system: orthorhombic

a b c (Å): 3.9029 5.0325 3.7121
angles (deg): 90.00 90.00 90.00
Closest atoms and distances in Å follow each position.
Positions (direct):
Al: 0.0000 0.5000 0.5000  4 As 2.69
As: 0.5000 0.5000 0.0000  4 Al 2.69
Zn: 0.5000 0.0000 0.5000  4 As 2.69
As: 0.0000 0.0000 0.0000  4 Zn 2.69

---

Record 13
## AlZn2As (PBE-GGA)

Data for a relaxed AlZn2As crystal.

Results
Calculated density (g cm⁻³): 5.66
E (eV for the cell shown): -10.4
Symmetry: Imm2
Magnetization (μB/f.u.): 0.0
Crystal system: orthorhombic

a b c (Å): 4.9406 4.9406 4.9406
angles (deg): 133.75 126.63 73.25
Closest atoms and distances in Å follow each position.
Positions (direct):
Al: 0.5019 0.5019 0.0000  8 Zn 2.77-2.98, 4 As 2.78-2.97
Zn: 0.9962 0.9962 0.0000  4 Zn 2.75-3.00, 4 As 2.80-2.95, 4 Al 2.95
Zn: 0.7511 0.2511 0.5000  4 Zn 2.75-3.00, 4 Al 2.77-2.98, 4 As 2.95
As: 0.2508 0.7508 0.5000  4 Al 2.78-2.97, 8 Zn 2.80-2.95

---

Record 14
## AlZn2As (PBE-GGA)

Data for a relaxed AlZn2As crystal.

Results
Calculated density (g cm⁻³): 5.45
E (eV for the cell shown): -10.7
Symmetry: C2/m
Magnetization (μB/f.u.): 0.0
Crystal system: monoclinic

a b c (Å): 5.6947 5.6947 3.7527
angles (deg): 70.08 70.08 123.29
Closest atoms and distances in Å follow each position.
Positions (direct):
As: 0.0000 0.5000 0.5000  4 Al 2.61-2.70, 4 Zn 2.83
Al: 0.5000 0.0000 0.5000  4 As 2.61-2.70, 4 Zn 2.83
Zn: 0.0000 0.0000 0.0000  4 Zn 2.61-2.70, 2 Al 2.83, 2 As 2.83
Zn: 0.5000 0.5000 0.0000  4 Zn 2.61-2.70, 2 As 2.83, 2 Al 2.83

---

Record 15
## Al2ZnAs (PBE-GGA)

Data for a relaxed Al2ZnAs crystal.

Results
Calculated density (g cm⁻³): 4.60
E (eV for the cell shown): -13.1
Symmetry: Cm
Magnetization (μB/f.u.): 0.0
Crystal system: monoclinic

a b c (Å): 5.4165 5.4165 4.8466
angles (deg): 80.94 80.94 30.02
Closest atoms and distances in Å follow each position.
Positions (direct):
Zn: 0.2641 0.2641 0.1204  7 Al 2.72-2.88, 2 Zn 2.81
Al: 0.0042 0.0042 0.1238  3 Zn 2.72-2.88, 4 As 2.80-2.81, 2 Al 2.81
As: 0.4895 0.4895 0.6296  7 Al 2.64-2.95, 2 As 2.81
Al: 0.7421 0.7421 0.6262  3 As 2.64-2.95, 4 Zn 2.80-2.82, 2 Al 2.81

---

Record 16
## AlZnAs (PBE-GGA)

Data for a relaxed AlZnAs crystal.

Results
Calculated density (g cm⁻³): 4.63
E (eV for the cell shown): -9.5
Symmetry: F-43m
Magnetization (μB/f.u.): 0.0
Crystal system: cubic

a b c (Å): 4.3932 4.3932 4.3932
angles (deg): 60.00 60.00 60.00
Closest atoms and distances in Å follow each position.
Positions (direct):
As: 0.0000 0.0000 0.0000  4 Al 2.69
Zn: 0.5000 0.5000 0.5000  4 Al 2.69
Al: 0.7500 0.7500 0.7500  4 As 2.69, 4 Zn 2.69

---

Record 17
## Al3ZnAs (PBE-GGA)

Data for a relaxed Al3ZnAs crystal.

Results
Calculated density (g cm⁻³): 3.56
E (eV for the cell shown): -14.8
Symmetry: Pm-3m
Magnetization (μB/f.u.): 0.0
Crystal system: cubic

a b c (Å): 4.6894 4.6894 4.6894
angles (deg): 90.00 90.00 90.00
Closest atoms and distances in Å follow each position.
Positions (direct):
As: 0.5000 0.5000 0.5000  12 Al 3.32
Al: 0.0000 0.0000 0.5000  2 Zn 2.34
Al: 0.0000 0.5000 0.0000  2 Zn 2.34
Zn: 0.0000 0.0000 0.0000  6 Al 2.34
Al: 0.5000 0.0000 0.0000  2 Zn 2.34

---

Record 18
## AlZnAs2 (PBE-GGA)

Data for a relaxed AlZnAs2 crystal.

Results
Calculated density (g cm⁻³): 4.77
E (eV for the cell shown): -14.4
Symmetry: P4mm
Magnetization (μB/f.u.): 0.0
Crystal system: tetragonal

a b c (Å): 3.5157 3.5157 6.8191
angles (deg): 90.00 90.00 90.00
Closest atoms and distances in Å follow each position.
Positions (direct):
As: 0.0000 0.0000 0.8825  1 Zn 2.60, 4 Al 2.65
Zn: 0.0000 0.0000 0.5012  5 As 2.60-2.65
Al: 0.5000 0.5000 0.7492  5 As 2.61-2.65
As: 0.5000 0.5000 0.3672  1 Al 2.61, 4 Zn 2.65

---

Record 19
## AlZn2As (PBE-GGA)

Data for a relaxed AlZn2As crystal.

Results
Calculated density (g cm⁻³): 5.54
E (eV for the cell shown): -10.5
Symmetry: P2/m
Magnetization (μB/f.u.): 0.0
Crystal system: monoclinic

a b c (Å): 4.0228 2.9457 6.0978
angles (deg): 74.86 90.00 90.00
Closest atoms and distances in Å follow each position.
Positions (direct):
As: 0.5000 0.7500 0.7500  4 Zn 2.67, 2 As 2.95
Zn: 0.0000 0.8358 0.0240  2 As 2.67, 3 Zn 2.67-2.95, 4 Al 2.77-2.88
Zn: 0.0000 0.6642 0.4760  2 As 2.67, 3 Zn 2.67-2.95, 4 Al 2.77-2.88
Al: 0.5000 0.2500 0.2500  8 Zn 2.77-2.88, 2 Al 2.95, 2 As 3.02

---

Record 20
## Al2ZnAs (PBE-GGA)

Data for a relaxed Al2ZnAs crystal.

Results
Calculated density (g cm⁻³): 4.69
E (eV for the cell shown): -12.9
Symmetry: R3m
Magnetization (μB/f.u.): 0.0
Crystal system: trigonal

a b c (Å): 9.2458 9.2458 9.2458
angles (deg): 18.40 18.40 18.40
Closest atoms and distances in Å follow each position.
Positions (direct):
Zn: 0.7469 0.7469 0.7469  3 Al 2.78, 6 Zn 2.96, 3 As 2.96
Al: 0.2512 0.2512 0.2512  9 Al 2.81-2.96, 3 As 2.82
As: 0.5023 0.5023 0.5023  3 Al 2.82, 6 As 2.96, 3 Zn 2.96
Al: 0.9996 0.9996 0.9996  3 Zn 2.78, 9 Al 2.81-2.96